[1]
Nb2InSi PBE-GGA relaxed; crystal system = tetragonal
1.0
-1.978 1.978 9.953
1.978 -1.978 9.953
1.978 1.978 -9.953
Nb In Si
4 2 2
Direct
0.113 0.625 0.988
0.375 0.363 0.488
0.637 0.125 0.012
0.875 0.887 0.512
0.250 0.750 0.500
0.500 0.500 0.000
0.000 0.000 0.000
0.750 0.250 0.500


[2]
NbIn3Si PBE-GGA relaxed; crystal system = cubic; energy above the most stable polymorph in this dataset = 0.042 eV/atom
1.0
5.130 0.000 0.000
0.000 5.130 0.000
0.000 0.000 5.130
Nb In Si
1 3 1
Direct
0.000 0.000 0.000
0.000 0.500 0.500
0.500 0.000 0.500
0.500 0.500 0.000
0.500 0.500 0.500


[3]
NbInSi2 PBE-GGA relaxed; crystal system = tetragonal
1.0
-3.096 3.096 5.510
3.096 -3.096 5.510
3.096 3.096 -5.510
Nb In Si
2 2 4
Direct
0.000 0.000 0.000
0.750 0.250 0.500
0.250 0.750 0.500
0.500 0.500 0.000
0.104 0.625 0.979
0.375 0.354 0.479
0.646 0.125 0.021
0.875 0.896 0.521


These records have raw formation energy values of 367.5 1047.7 671.3 meV per atom, in the order they appear.